(1)
DFT (PBE-GGA) results for a relaxed structure of Ba2TmRuO6.

Lattice parameters (Å, degrees): 5.930 5.930 5.930 60.00 60.00 60.00
Sites, in units of the cell vectors:
Ba: 0.750 0.750 0.750
Ba: 0.250 0.250 0.250
Tm: 0.500 0.500 0.500
Ru: 0.000 0.000 0.000
O: 0.763 0.237 0.763
O: 0.237 0.237 0.763
O: 0.763 0.763 0.237
O: 0.763 0.237 0.237
O: 0.237 0.763 0.237
O: 0.237 0.763 0.763

Crystal system   cubic
Calculated total energy   -71.9 eV for the cell shown
Formation energy without anion corrections   -2.46 eV/atom


(2)
DFT (PBE-GGA) results for a relaxed structure of Mg3HgPt2.

Lattice parameters (Å, degrees): 3.209 3.209 10.319 90.00 90.00 90.00
Sites, in units of the cell vectors:
Mg: 0.000 0.000 0.000
Mg: 0.000 0.000 0.700
Mg: 0.000 0.000 0.300
Hg: 0.500 0.500 0.500
Pt: 0.500 0.500 0.846
Pt: 0.500 0.500 0.154

ΔE_f   -380 kJ/mol of formula units
Crystal system   tetragonal
Calculated total energy   -21.1 eV for the cell shown


(3)
DFT (PBE-GGA) results for a relaxed structure of Ac6Cd2C.

Lattice parameters (Å, degrees): 7.826 7.311 11.351 90.63 90.00 90.00
Sites, in units of the cell vectors:
Ac: 0.007 0.093 0.736
Ac: 0.300 0.181 0.467
Ac: 0.316 0.194 0.039
Ac: 0.816 0.306 0.461
Ac: 0.800 0.319 0.033
Ac: 0.507 0.407 0.764
Ac: 0.993 0.907 0.264
Ac: 0.700 0.819 0.533
Ac: 0.684 0.806 0.961
Ac: 0.184 0.694 0.539
Ac: 0.200 0.681 0.967
Ac: 0.493 0.593 0.236
Cd: 0.580 0.055 0.251
Cd: 0.080 0.445 0.249
Cd: 0.920 0.555 0.751
Cd: 0.420 0.945 0.749
C: 0.500 0.500 0.000
C: 0.000 0.000 0.500

ΔE_f   -64 kJ/mol of formula units
Crystal system   monoclinic
Calculated total energy   -72.7 eV for the cell shown


(4)
DFT (PBE-GGA) results for a relaxed structure of Sr2YP.

Lattice parameters (Å, degrees): 7.160 7.160 7.160 148.59 132.66 57.92
Sites, in units of the cell vectors:
Sr: 0.933 0.933 0.000
Sr: 0.253 0.753 0.500
Y: 0.579 0.579 0.000
P: 0.735 0.235 0.500

ΔE_f   -197 kJ/mol of formula units
Crystal system   orthorhombic
Calculated total energy   -17.3 eV for the cell shown


(5)
DFT (PBE-GGA) results for a relaxed structure of Tm3CoSeCl.

Lattice parameters (Å, degrees): 3.830 8.094 9.481 94.49 90.00 90.00
Sites, in units of the cell vectors:
Tm: 0.750 0.800 0.109
Tm: 0.250 0.200 0.891
Tm: 0.250 0.621 0.378
Tm: 0.750 0.379 0.622
Tm: 0.750 0.330 0.187
Tm: 0.250 0.670 0.813
Co: 0.250 0.536 0.077
Co: 0.750 0.464 0.923
Se: 0.250 0.068 0.169
Se: 0.750 0.932 0.831
Cl: 0.250 0.152 0.589
Cl: 0.750 0.848 0.411

Crystal system   monoclinic
Calculated total energy   -64.4 eV for the cell shown
Formation energy without anion corrections   -1.06 eV/atom


(6)
DFT (PBE-GGA) results for a relaxed structure of SrLiTc2.

Lattice parameters (Å, degrees): 5.242 5.808 2.738 82.37 76.81 113.42
Sites, in units of the cell vectors:
Li: 0.000 0.500 0.500
Sr: 0.500 0.500 0.000
Tc: 0.000 0.000 0.000
Tc: 0.500 0.000 0.500

ΔE_f   294 kJ/mol of formula units
Crystal system   monoclinic
Calculated total energy   -21.3 eV for the cell shown
Polymorph energy (0 for the lowest one)   395 meV/atom


N(E_F) for the records above, in order: 1.98; 2.35; 19.69; 2.03; 7.95; 3.23 states/eV per cell